# 1
# CaBH2

A geometry-optimized CaBH2 structure (PBE-GGA, Alexandria via LeMat-Bulk).

Results
* magnetic moment: 0.22 Bohr magnetons per cell
* energy above the lowest structure with this stoichiometry: 285 meV per atom
* volume: 9.77 Å³ per atom

a b c (Å): 3.809 3.809 3.809
angles (deg): 60.00 60.00 60.00
Atoms (fractional coordinates):
H1 0.250 0.250 0.250
H2 0.750 0.750 0.750
Ca1 0.500 0.500 0.500
B1 0.000 0.000 0.000

=====

# 2
# CaB2H2

A geometry-optimized CaB2H2 structure (PBE-GGA, Alexandria via LeMat-Bulk).

Results
* magnetic moment: 0.00 Bohr magnetons per cell
* energy above the lowest structure with this stoichiometry: 553 meV per atom
* volume: 10.66 Å³ per atom

a b c (Å): 3.242 3.739 17.584
angles (deg): 90.00 90.00 90.00
Atoms (fractional coordinates):
Ca1 0.250 0.233 0.625
Ca2 0.250 0.267 0.125
Ca3 0.750 0.767 0.375
Ca4 0.750 0.733 0.875
B1 0.250 0.890 0.501
B2 0.250 0.610 0.001
B3 0.750 0.110 0.499
B4 0.750 0.390 0.999
B5 0.250 0.762 0.247
B6 0.250 0.738 0.747
B7 0.750 0.238 0.753
B8 0.750 0.262 0.253
H1 0.250 0.727 0.564
H2 0.250 0.773 0.064
H3 0.750 0.273 0.436
H4 0.750 0.227 0.936
H5 0.250 0.633 0.457
H6 0.250 0.867 0.957
H7 0.750 0.367 0.543
H8 0.750 0.133 0.043

=====

# 3
# CaB2H2

A geometry-optimized CaB2H2 structure (PBE-GGA, Alexandria via LeMat-Bulk).

Results
* magnetic moment: 0.00 Bohr magnetons per cell
* energy above the lowest structure with this stoichiometry: 0 meV per atom
* volume: 10.72 Å³ per atom

a b c (Å): 4.550 4.550 7.841
angles (deg): 90.00 90.00 138.68
Atoms (fractional coordinates):
Ca1 0.157 0.843 0.449
Ca2 0.843 0.157 0.949
B1 0.414 0.586 0.230
B2 0.586 0.414 0.730
B3 0.876 0.124 0.297
B4 0.124 0.876 0.797
H1 0.480 0.520 0.088
H2 0.520 0.480 0.588
H3 0.167 0.833 0.951
H4 0.833 0.167 0.451

=====

# 4
# CaBH6

A geometry-optimized CaBH6 structure (PBE-GGA, Alexandria via LeMat-Bulk).

Results
* magnetic moment: 0.00 Bohr magnetons per cell
* DFT total energy: -3.566 eV per atom
* volume: 6.62 Å³ per atom

a b c (Å): 4.254 7.293 4.211
angles (deg): 30.02 59.46 54.07
Atoms (fractional coordinates):
Ca1 0.000 0.000 0.000
B1 0.500 0.500 0.000
H1 0.744 0.577 0.538
H2 0.744 0.115 0.462
H3 0.256 0.885 0.538
H4 0.256 0.423 0.462
H5 0.701 0.596 0.000
H6 0.299 0.404 0.000

=====

# 5
# KCaB2H8

A geometry-optimized KCaB2H8 structure (PBE-GGA, Alexandria via LeMat-Bulk).

Results
* magnetic moment: 0.00 Bohr magnetons per cell
* DFT total energy: -3.934 eV per atom
* volume: 9.83 Å³ per atom

a b c (Å): 4.318 4.318 7.723
angles (deg): 73.77 73.77 60.00
Atoms (fractional coordinates):
K1 0.500 0.500 0.500
Ca1 0.000 0.000 0.000
B1 0.259 0.259 0.222
B2 0.741 0.741 0.778
H1 0.203 0.203 0.390
H2 0.435 0.435 0.164
H3 0.797 0.797 0.610
H4 0.966 0.435 0.164
H5 0.034 0.565 0.836
H6 0.435 0.966 0.164
H7 0.565 0.034 0.836
H8 0.565 0.565 0.836

=====

# 6
# LiCaB2H8

A geometry-optimized LiCaB2H8 structure (PBE-GGA, Alexandria via LeMat-Bulk).

Results
* magnetic moment: 0.53 Bohr magnetons per cell
* DFT total energy: -3.924 eV per atom
* volume: 8.91 Å³ per atom

a b c (Å): 4.156 4.156 7.144
angles (deg): 90.00 90.00 120.00
Atoms (fractional coordinates):
Li1 0.000 0.000 0.000
Ca1 0.000 0.000 0.500
B1 0.333 0.667 0.742
B2 0.667 0.333 0.258
H1 0.173 0.345 0.797
H2 0.173 0.827 0.797
H3 0.655 0.827 0.797
H4 0.345 0.173 0.203
H5 0.667 0.333 0.435
H6 0.333 0.667 0.565
H7 0.827 0.655 0.203
H8 0.827 0.173 0.203